# 1
Ce2Ga3CuPt4 | GGA-PBE | relaxed

Cell lengths 4.124, 4.124, 11.111 Å; angles 90.00, 90.00, 90.00 degrees
Space group P-4m2 (No. 115)
Inequivalent atoms, fractional coordinates:
Ce1 0.000 0.500 0.240 (multiplicity 2)
Ga1 0.000 0.000 0.000 (multiplicity 1)
Ga2 0.000 0.500 0.633 (multiplicity 2)
Cu1 0.500 0.500 0.000 (multiplicity 1)
Pt1 0.000 0.000 0.500 (multiplicity 1)
Pt2 0.000 0.500 0.857 (multiplicity 2)
Pt3 0.500 0.500 0.500 (multiplicity 1)

Summary:
DOS at the Fermi energy	12.10	states/eV/f.u.
M_tot	1.37	μB per formula unit
E	-5.77	eV per atom

***

# 2
Ce2GaCuPt6 | GGA-PBE | relaxed

Cell lengths 9.392, 9.392, 9.392 Å; angles 90.00, 90.00, 90.00 degrees
Space group Fm-3m (No. 225)
Inequivalent atoms, fractional coordinates:
Ce1 0.250 0.250 0.250 (multiplicity 8)
Ga1 0.000 0.000 0.000 (multiplicity 4)
Cu1 0.000 0.000 0.500 (multiplicity 4)
Pt1 0.000 0.000 0.250 (multiplicity 24)

Summary:
DOS at the Fermi energy	17.56	states/eV/f.u.
M_tot	1.51	μB per formula unit
E	-5.81	eV per atom

***

# 3
Ce2Ga4CuPt3 | GGA-PBE | relaxed

Cell lengths 4.260, 4.260, 10.501 Å; angles 90.00, 90.00, 90.00 degrees
Space group P-4m2 (No. 115)
Inequivalent atoms, fractional coordinates:
Ce1 0.000 0.500 0.247 (multiplicity 2)
Ga1 0.000 0.000 0.000 (multiplicity 1)
Ga2 0.000 0.500 0.626 (multiplicity 2)
Ga3 0.500 0.500 0.000 (multiplicity 1)
Cu1 0.000 0.000 0.500 (multiplicity 1)
Pt1 0.000 0.500 0.863 (multiplicity 2)
Pt2 0.500 0.500 0.500 (multiplicity 1)

Summary:
DOS at the Fermi energy	12.48	states/eV/f.u.
M_tot	1.36	μB per formula unit
E	-5.44	eV per atom

***

# 4
CeGa4CuPt2 | GGA-PBE | relaxed

Cell lengths 4.3066, 4.3066, 26.0162 Å; angles 90.00, 90.00, 120.00 degrees
Space group R-3m (No. 166, hexagonal axes)
Inequivalent atoms, fractional coordinates:
Ce1 0.0000 0.0000 0.0000 (multiplicity 3)
Ga1 0.0000 0.0000 0.1315 (multiplicity 6)
Ga2 0.0000 0.0000 0.3991 (multiplicity 6)
Cu1 0.0000 0.0000 0.5000 (multiplicity 3)
Pt1 0.0000 0.0000 0.2382 (multiplicity 6)

Summary:
DOS at the Fermi energy	6.44	states/eV/f.u.
M_tot	0.60	μB per formula unit
E	-4.85	eV per atom

***

Look up the DOS at the Fermi energy of the fourth one.
6.44 states/eV/f.u.

***

Which of these has the lowest DOS at the Fermi energy?
CeGa4CuPt2

***

Repeat the first record exactly.
Ce2Ga3CuPt4 | GGA-PBE | relaxed

Cell lengths 4.124, 4.124, 11.111 Å; angles 90.00, 90.00, 90.00 degrees
Space group P-4m2 (No. 115)
Inequivalent atoms, fractional coordinates:
Ce1 0.000 0.500 0.240 (multiplicity 2)
Ga1 0.000 0.000 0.000 (multiplicity 1)
Ga2 0.000 0.500 0.633 (multiplicity 2)
Cu1 0.500 0.500 0.000 (multiplicity 1)
Pt1 0.000 0.000 0.500 (multiplicity 1)
Pt2 0.000 0.500 0.857 (multiplicity 2)
Pt3 0.500 0.500 0.500 (multiplicity 1)

Summary:
DOS at the Fermi energy	12.10	states/eV/f.u.
M_tot	1.37	μB per formula unit
E	-5.77	eV per atom